This record from Alexandria via LeMat-Bulk describes crystalline BaCdPt at its relaxed geometry. The functional is PBE-GGA.

Computed properties:
Formation energy (eV per formula unit): -1.7
Magnetic moment (μB/f.u.): 0.00

Cell: 4.5634 4.5631 8.0770 Å, 90.00 90.01 90.00°
Last column: nearest neighbours and their distance in Å.
Element x y z (fractional)
1 Cd 0.0229 0.3379 0.0235  4 Pt 2.90, 4 Cd 3.23
2 Cd 0.5229 0.8380 0.0234  4 Pt 2.90, 4 Cd 3.23
3 Ba 0.5229 0.3376 0.3666  5 Pt 3.37-3.51, 4 Cd 3.59
4 Ba 0.0229 0.8378 0.6803  5 Pt 3.37-3.51, 4 Cd 3.59
5 Pt 0.5229 0.3379 0.8015  4 Cd 2.90
6 Pt 0.0229 0.8376 0.2453  4 Cd 2.90